Entry i
First-principles (PBE) data for crystalline Li2Mg2Bi at its relaxed geometry, as listed in Alexandria via LeMat-Bulk.

Computed properties:
Crystal system   tetragonal
N(E_F)   3.801 states/eV per cell

Cell lengths 8.1952, 8.1952, 3.4505 Å; angles 90.00, 90.00, 90.00 degrees
Last column: nearest neighbours and their distance in Å.
Element x y z (fractional)
Bi  0.5000  0.5000  0.0000  4 Mg 3.20, 2 Bi 3.45, 8 Li 3.52
Mg  0.6322  0.1322  0.0000  6 Li 2.94-2.97, 1 Mg 3.06, 2 Bi 3.20
Li  0.6620  0.8380  0.5000  6 Mg 2.94-2.97
Bi  0.0000  0.0000  0.0000  4 Mg 3.20, 2 Bi 3.45, 8 Li 3.52
Mg  0.1322  0.3678  0.0000  6 Li 2.94-2.97, 1 Mg 3.06, 2 Bi 3.20
Mg  0.3678  0.8678  0.0000  6 Li 2.94-2.97, 1 Mg 3.06, 2 Bi 3.20
Li  0.8380  0.3380  0.5000  6 Mg 2.94-2.97
Mg  0.8678  0.6322  0.0000  6 Li 2.94-2.97, 1 Mg 3.06, 2 Bi 3.20
Li  0.1620  0.6620  0.5000  6 Mg 2.94-2.97
Li  0.3380  0.1620  0.5000  6 Mg 2.94-2.97

Entry ii
First-principles (PBE) data for crystalline Li2Mg2Bi at its relaxed geometry, as listed in Alexandria via LeMat-Bulk.

Computed properties:
Crystal system   tetragonal
N(E_F)   3.485 states/eV per cell

Cell lengths 7.8622, 7.8622, 3.5761 Å; angles 90.00, 90.00, 90.00 degrees
Last column: nearest neighbours and their distance in Å.
Element x y z (fractional)
Li  0.1409  0.3591  0.0000  6 Mg 2.91-2.92, 2 Bi 3.03, 1 Li 3.13
Mg  0.6521  0.8479  0.5000  6 Li 2.91-2.92
Bi  0.0000  0.0000  0.0000  4 Li 3.03
Bi  0.5000  0.5000  0.0000  4 Li 3.03
Mg  0.3479  0.1521  0.5000  6 Li 2.91-2.92
Li  0.3591  0.8591  0.0000  6 Mg 2.91-2.92, 2 Bi 3.03, 1 Li 3.13
Li  0.8591  0.6409  0.0000  6 Mg 2.91-2.92, 2 Bi 3.03, 1 Li 3.13
Mg  0.8479  0.3479  0.5000  6 Li 2.91-2.92
Li  0.6409  0.1409  0.0000  6 Mg 2.91-2.92, 2 Bi 3.03, 1 Li 3.13
Mg  0.1521  0.6521  0.5000  6 Li 2.91-2.92

Entry iii
First-principles (PBE) data for crystalline Li2Mg2Bi at its relaxed geometry, as listed in Alexandria via LeMat-Bulk.

Computed properties:
Crystal system   tetragonal
N(E_F)   1.976 states/eV per cell

Cell lengths 3.9333, 3.9333, 8.3848 Å; angles 76.43, 76.43, 90.00 degrees
Last column: nearest neighbours and their distance in Å.
Element x y z (fractional)
Mg  0.6030  0.6030  0.7940  4 Li 3.05, 4 Bi 3.22, 1 Mg 3.26
Li  0.2500  0.7500  0.5000  4 Li 2.78, 4 Mg 3.05
Bi  0.0000  0.0000  0.0000  8 Mg 3.22
Li  0.7500  0.2500  0.5000  4 Li 2.78, 4 Mg 3.05
Mg  0.3970  0.3970  0.2060  4 Li 3.05, 4 Bi 3.22, 1 Mg 3.26

Least stable: entry iii